Record 1
An optimized crystal structure of SbIr15, computed with GGA-PBE.

Values from the calculation:
SG: P2_1/m, No. 11
total magnetic moment: 0.006 μB/cell

Unit cell a=5.4457 b=2.7517 c=41.4629 alpha=90.00 beta=90.02 gamma=90.00
Atoms (fractional coordinates):
Sb 0.1230 0.2500 0.3577
Sb 0.8770 0.7500 0.6423
Ir 0.1221 0.2500 0.6977
Ir 0.1250 0.2500 0.0698
Ir 0.1252 0.2500 0.1628
Ir 0.1251 0.2500 0.2563
Ir 0.1252 0.2500 0.7907
Ir 0.1251 0.2500 0.8838
Ir 0.1250 0.2500 0.9768
Ir 0.3743 0.7500 0.3019
Ir 0.3743 0.7500 0.7444
Ir 0.3750 0.7500 0.0233
Ir 0.3755 0.7500 0.1162
Ir 0.3748 0.7500 0.8374
Ir 0.3749 0.7500 0.9303
Ir 0.3757 0.7500 0.2093
Ir 0.3771 0.7500 0.6529
Ir 0.6229 0.2500 0.3471
Ir 0.6243 0.2500 0.7907
Ir 0.6251 0.2500 0.0697
Ir 0.6252 0.2500 0.1626
Ir 0.6245 0.2500 0.8838
Ir 0.6250 0.2500 0.9767
Ir 0.6257 0.2500 0.2556
Ir 0.6257 0.2500 0.6981
Ir 0.8750 0.7500 0.0232
Ir 0.8749 0.7500 0.1162
Ir 0.8748 0.7500 0.2093
Ir 0.8749 0.7500 0.7437
Ir 0.8748 0.7500 0.8372
Ir 0.8750 0.7500 0.9302
Ir 0.8779 0.7500 0.3023


Record 2
An optimized crystal structure of SbIr15, computed with GGA-PBE.

Values from the calculation:
SG: P2_1/m, No. 11
total magnetic moment: 0.004 μB/cell

Unit cell a=7.6889 b=2.7428 c=35.2472 alpha=90.00 beta=90.00 gamma=90.00
Atoms (fractional coordinates):
Sb 0.1250 0.2500 0.2964
Sb 0.8750 0.7500 0.7036
Ir 0.1249 0.2500 0.0583
Ir 0.1251 0.2500 0.1356
Ir 0.1251 0.2500 0.2126
Ir 0.1249 0.2500 0.8261
Ir 0.1250 0.2500 0.9806
Ir 0.1255 0.2500 0.9035
Ir 0.1266 0.2500 0.7472
Ir 0.3749 0.7500 0.0196
Ir 0.3748 0.7500 0.1738
Ir 0.3749 0.7500 0.7129
Ir 0.3751 0.7500 0.7886
Ir 0.3750 0.7500 0.8645
Ir 0.3749 0.7500 0.9422
Ir 0.3756 0.7500 0.0965
Ir 0.3766 0.7500 0.2529
Ir 0.6234 0.2500 0.7471
Ir 0.6244 0.2500 0.9035
Ir 0.6251 0.2500 0.0578
Ir 0.6250 0.2500 0.1355
Ir 0.6249 0.2500 0.2114
Ir 0.6251 0.2500 0.2871
Ir 0.6252 0.2500 0.8262
Ir 0.6251 0.2500 0.9804
Ir 0.8734 0.7500 0.2528
Ir 0.8745 0.7500 0.0965
Ir 0.8750 0.7500 0.0194
Ir 0.8751 0.7500 0.1739
Ir 0.8749 0.7500 0.7874
Ir 0.8749 0.7500 0.8644
Ir 0.8751 0.7500 0.9417


Record 3
An optimized crystal structure of SbIr15, computed with GGA-PBE.

Values from the calculation:
SG: P2/c, No. 13
total magnetic moment: 0.011 μB/cell

Unit cell a=4.7183 b=35.1848 c=4.7195 alpha=90.00 beta=109.57 gamma=90.00
Atoms (fractional coordinates):
Sb 0.0000 0.2001 0.2500
Sb 0.0000 0.7999 0.7500
Ir 0.0000 0.2472 0.7500
Ir 0.0000 0.2870 0.2500
Ir 0.0000 0.3256 0.7500
Ir 0.0000 0.3645 0.2500
Ir 0.0000 0.4029 0.7500
Ir 0.0000 0.4417 0.2500
Ir 0.0000 0.4807 0.7500
Ir 0.0000 0.5193 0.2500
Ir 0.0000 0.5583 0.7500
Ir 0.0000 0.5971 0.2500
Ir 0.0000 0.6355 0.7500
Ir 0.0000 0.6744 0.2500
Ir 0.0000 0.7130 0.7500
Ir 0.0000 0.7528 0.2500
Ir 0.5000 0.2118 0.7500
Ir 0.5000 0.2472 0.2500
Ir 0.5000 0.2870 0.7500
Ir 0.5000 0.3256 0.2500
Ir 0.5000 0.3642 0.7500
Ir 0.5000 0.4030 0.2500
Ir 0.5000 0.4419 0.7500
Ir 0.5000 0.4806 0.2500
Ir 0.5000 0.5194 0.7500
Ir 0.5000 0.5581 0.2500
Ir 0.5000 0.5970 0.7500
Ir 0.5000 0.6358 0.2500
Ir 0.5000 0.6744 0.7500
Ir 0.5000 0.7130 0.2500
Ir 0.5000 0.7528 0.7500
Ir 0.5000 0.7882 0.2500


Record 4
An optimized crystal structure of SbIr15, computed with GGA-PBE.

Values from the calculation:
SG: Pmma, No. 51
total magnetic moment: 0.005 μB/cell

Unit cell a=3.8614 b=3.8612 c=43.9219 alpha=90.00 beta=90.00 gamma=90.00
Atoms (fractional coordinates):
Sb 0.2500 0.0000 0.1603
Sb 0.7500 0.0000 0.8397
Ir 0.2500 0.0000 0.2582
Ir 0.2500 0.0000 0.3463
Ir 0.2500 0.0000 0.4340
Ir 0.2500 0.0000 0.5220
Ir 0.2500 0.0000 0.6098
Ir 0.2500 0.0000 0.6978
Ir 0.2500 0.0000 0.7850
Ir 0.2500 0.5000 0.2150
Ir 0.2500 0.5000 0.3022
Ir 0.2500 0.5000 0.3902
Ir 0.2500 0.5000 0.4781
Ir 0.2500 0.5000 0.5659
Ir 0.2500 0.5000 0.6537
Ir 0.2500 0.5000 0.7419
Ir 0.2500 0.5000 0.8286
Ir 0.7500 0.0000 0.2150
Ir 0.7500 0.0000 0.3022
Ir 0.7500 0.0000 0.3902
Ir 0.7500 0.0000 0.4780
Ir 0.7500 0.0000 0.5660
Ir 0.7500 0.0000 0.6537
Ir 0.7500 0.0000 0.7418
Ir 0.7500 0.5000 0.1714
Ir 0.7500 0.5000 0.2581
Ir 0.7500 0.5000 0.3463
Ir 0.7500 0.5000 0.4341
Ir 0.7500 0.5000 0.5219
Ir 0.7500 0.5000 0.6098
Ir 0.7500 0.5000 0.6978
Ir 0.7500 0.5000 0.7850


Record 5
An optimized crystal structure of Sb2Ir, computed with GGA-PBE.

Values from the calculation:
SG: Fd-3m, No. 227
total magnetic moment: 0.000 μB/cell

Unit cell a=5.8440 b=5.8440 c=5.8440 alpha=60.00 beta=60.00 gamma=60.00
Atoms (fractional coordinates):
Sb 0.0000 0.0000 0.0000
Sb 0.0000 0.0000 0.5000
Sb 0.0000 0.5000 0.0000
Sb 0.5000 0.0000 0.0000
Ir 0.3750 0.3750 0.3750
Ir 0.6250 0.6250 0.6250


Record 6
An optimized crystal structure of SbIr2, computed with GGA-PBE.

Values from the calculation:
SG: Fd-3m, No. 227
total magnetic moment: 5.908 μB/cell

Unit cell a=8.2043 b=8.2043 c=8.2043 alpha=60.00 beta=60.00 gamma=60.00
Atoms (fractional coordinates):
Sb 0.1250 0.1250 0.1250
Sb 0.8750 0.8750 0.8750
Ir 0.0000 0.0000 0.0000
Ir 0.0000 0.0000 0.5000
Ir 0.0000 0.5000 0.0000
Ir 0.5000 0.0000 0.0000


Number 1: energy -270.6 eV per cell. Number 2: energy -269.1 eV per cell. Number 3: energy -270.6 eV per cell. Number 4: energy -271.6 eV per cell. Number 5: energy -26.3 eV per cell. Number 6: energy -27.4 eV per cell.